Material: Ac2FeSe2O2
Method: DFT, PBE with a Hubbard U
State: relaxed

Geometry as POSCAR:
```
Ac2FeSe2O2
1.0
5.8924 -2.0590 0.0000
5.8924 2.0590 0.0000
-3.8352 0.0000 6.3447
Ac Fe Se O
2 1 2 2
Direct
0.1933 0.1933 0.2411
0.8067 0.8067 0.7589
0.0000 0.0000 0.5000
0.4451 0.4451 0.1879
0.5549 0.5549 0.8121
0.1912 0.1912 0.5778
0.8088 0.8088 0.4222
```

Properties
* DOS(E_F): 0.00 states/eV/cell
* size of the total moment: 4.0 μB per formula unit
* final energy: -46.9 eV/cell
* density: 7.55 g/cm3
* volume: 21.993 Å³ per atom